Entry 1:
Compound: MoSe2Br
Source: Alexandria
Functional: PBE
Structure: optimized geometry

Summary:
Energy above the most stable polymorph in this dataset = 84 meV/atom
Volume = 22.27 Å³ per atom
Symmetry = No. 10

Cell: 5.2333 3.3783 5.6720 Å, 90.00 117.33 90.00°
Closest atoms and distances in Å follow each position.
Sites, in units of the cell vectors:
Mo (0.0000, 0.0000, 0.0000)  4 Se 2.52, 2 Br 2.62
Se (0.1855, 0.5000, 0.3720)  2 Mo 2.52
Se (0.8145, 0.5000, 0.6280)  2 Mo 2.52
Br (0.5000, 0.0000, 0.0000)  2 Mo 2.62


Entry 2:
Compound: HfZnOs3
Source: Alexandria
Functional: PBE
Structure: optimized geometry

Summary:
Energy above the most stable polymorph in this dataset = 0 meV/atom
Volume = 17.77 Å³ per atom
Symmetry = No. 221
ΔE_f = 30.179 kcal/mol of atoms

Cell: 4.4624 4.4624 4.4624 Å, 90.00 90.00 90.00°
Closest atoms and distances in Å follow each position.
Sites, in units of the cell vectors:
Hf (0.0000, 0.0000, 0.0000)  12 Os 3.16
Zn (0.5000, 0.5000, 0.5000)  6 Os 2.23
Os (0.0000, 0.5000, 0.5000)  2 Zn 2.23
Os (0.5000, 0.0000, 0.5000)  2 Zn 2.23
Os (0.5000, 0.5000, 0.0000)  2 Zn 2.23


Entry 3:
Compound: GaGeB3
Source: Alexandria
Functional: PBE
Structure: optimized geometry

Summary:
Energy above the most stable polymorph in this dataset = 0 meV/atom
Volume = 14.56 Å³ per atom
Symmetry = No. 221
ΔE_f = 41.943 kcal/mol of atoms

Cell: 4.1758 4.1758 4.1758 Å, 90.00 90.00 90.00°
Closest atoms and distances in Å follow each position.
Sites, in units of the cell vectors:
Ga (0.0000, 0.0000, 0.0000)  12 B 2.95
Ge (0.5000, 0.5000, 0.5000)  6 B 2.09
B (0.0000, 0.5000, 0.5000)  2 Ge 2.09
B (0.5000, 0.0000, 0.5000)  2 Ge 2.09
B (0.5000, 0.5000, 0.0000)  2 Ge 2.09


Entry 4:
Compound: TeSeBr2
Source: Alexandria
Functional: PBE
Structure: optimized geometry

Summary:
Energy above the most stable polymorph in this dataset = 220 meV/atom
Volume = 36.57 Å³ per atom
Symmetry = No. 25

Cell: 4.3167 4.4919 7.5440 Å, 90.00 90.00 90.00°
Closest atoms and distances in Å follow each position.
Sites, in units of the cell vectors:
Te (0.0000, 0.0000, 0.0000)  1 Br 2.53
Se (0.5000, 0.5000, 0.9701)  1 Br 2.35
Br (0.0000, 0.0000, 0.6646)  1 Te 2.53
Br (0.5000, 0.5000, 0.2821)  1 Se 2.35


Entry 5:
Compound: TcSe2
Source: Alexandria
Functional: PBE
Structure: optimized geometry

Summary:
Volume = 18.62 Å³ per atom
Symmetry = No. 191
Uncorrected energy = -14.4 eV/cell

Cell: 4.6682 4.6682 2.9600 Å, 90.00 90.00 120.00°
Closest atoms and distances in Å follow each position.
Sites, in units of the cell vectors:
Tc (0.0000, 0.0000, 0.0000)  2 Tc 2.96, 12 Se 3.07
Se (0.3333, 0.6667, 0.5000)  5 Se 2.70-2.96
Se (0.6667, 0.3333, 0.5000)  5 Se 2.70-2.96


Entry 6:
Compound: YHf2GeSe
Source: Alexandria
Functional: PBE
Structure: optimized geometry

Summary:
Volume = 25.89 Å³ per atom
Symmetry = No. 123
Uncorrected energy = -34.0 eV/cell

Cell: 4.9439 4.9439 5.2968 Å, 90.00 90.00 90.00°
Closest atoms and distances in Å follow each position.
Sites, in units of the cell vectors:
Y (0.0000, 0.0000, 0.0000)  4 Ge 3.50, 8 Hf 3.62
Hf (0.0000, 0.5000, 0.5000)  2 Se 2.47
Hf (0.5000, 0.0000, 0.5000)  2 Se 2.47
Ge (0.5000, 0.5000, 0.0000)  2 Se 2.65
Se (0.5000, 0.5000, 0.5000)  4 Hf 2.47, 2 Ge 2.65


Entry 7:
Compound: As2P2Se
Source: Alexandria
Functional: PBE
Structure: optimized geometry

Summary:
Energy above the most stable polymorph in this dataset = 0 meV/atom
Volume = 22.31 Å³ per atom
Symmetry = No. 127

Cell: 7.9842 7.9842 3.5000 Å, 90.00 90.00 90.00°
Closest atoms and distances in Å follow each position.
Sites, in units of the cell vectors:
As (0.2373, 0.2627, 0.0000)  2 P 2.33
As (0.2627, 0.7627, 0.0000)  2 P 2.33
As (0.7373, 0.2373, 0.0000)  2 P 2.33
As (0.7627, 0.7373, 0.0000)  2 P 2.33
P (0.1010, 0.3990, 0.5000)  1 P 2.28, 2 As 2.33
P (0.3990, 0.8990, 0.5000)  1 P 2.28, 2 As 2.33
P (0.6010, 0.1010, 0.5000)  1 P 2.28, 2 As 2.33
P (0.8990, 0.6010, 0.5000)  1 P 2.28, 2 As 2.33
Se (0.0000, 0.0000, 0.0000)  4 As 2.83
Se (0.5000, 0.5000, 0.0000)  4 As 2.83


Entry 8:
Compound: GeIrCl2
Source: Alexandria
Functional: PBE
Structure: optimized geometry

Summary:
Energy above the most stable polymorph in this dataset = 280 meV/atom
Volume = 17.95 Å³ per atom
Symmetry = No. 225

Cell: 6.5983 6.5983 6.5983 Å, 90.00 90.00 90.00°
Closest atoms and distances in Å follow each position.
Sites, in units of the cell vectors:
Ge (0.0000, 0.0000, 0.0000)  8 Cl 2.86
Ge (0.0000, 0.5000, 0.5000)  8 Cl 2.86
Ge (0.5000, 0.0000, 0.5000)  8 Cl 2.86
Ge (0.5000, 0.5000, 0.0000)  8 Cl 2.86
Ir (0.0000, 0.0000, 0.5000)  8 Cl 2.86
Ir (0.0000, 0.5000, 0.0000)  8 Cl 2.86
Ir (0.5000, 0.0000, 0.0000)  8 Cl 2.86
Ir (0.5000, 0.5000, 0.5000)  8 Cl 2.86
Cl (0.2500, 0.2500, 0.2500)  4 Ge 2.86, 4 Ir 2.86
Cl (0.2500, 0.2500, 0.7500)  4 Ge 2.86, 4 Ir 2.86
Cl (0.2500, 0.7500, 0.2500)  4 Ge 2.86, 4 Ir 2.86
Cl (0.2500, 0.7500, 0.7500)  4 Ge 2.86, 4 Ir 2.86
Cl (0.7500, 0.2500, 0.2500)  4 Ge 2.86, 4 Ir 2.86
Cl (0.7500, 0.2500, 0.7500)  4 Ge 2.86, 4 Ir 2.86
Cl (0.7500, 0.7500, 0.2500)  4 Ge 2.86, 4 Ir 2.86
Cl (0.7500, 0.7500, 0.7500)  4 Ir 2.86, 4 Ge 2.86


Entry 9:
Compound: Ac2Dy5Er4
Source: Alexandria
Functional: PBE
Structure: optimized geometry

Summary:
Volume = 33.25 Å³ per atom
Symmetry = No. 2
ΔE_f = 1.181 kcal/mol of atoms

Cell: 6.2404 8.0746 8.0815 Å, 107.40 105.09 97.29°
Closest atoms and distances in Å follow each position.
Sites, in units of the cell vectors:
Ac (0.1399, 0.2329, 0.0478)  6 Dy 3.58-3.68, 5 Er 3.61-3.66, 1 Ac 3.70
Ac (0.8601, 0.7671, 0.9522)  6 Dy 3.58-3.68, 5 Er 3.61-3.66, 1 Ac 3.70
Dy (0.2289, 0.0466, 0.4152)  5 Dy 3.53-3.61, 5 Er 3.53-3.62, 2 Ac 3.66-3.68
Dy (0.4120, 0.6855, 0.1428)  4 Dy 3.53-3.68, 5 Er 3.58-3.70, 3 Ac 3.59-3.62
Dy (0.5000, 0.5000, 0.5000)  6 Er 3.56-3.61, 2 Ac 3.58, 4 Dy 3.58-3.61
Dy (0.5880, 0.3145, 0.8572)  4 Dy 3.53-3.68, 5 Er 3.58-3.70, 3 Ac 3.59-3.62
Dy (0.7711, 0.9534, 0.5848)  5 Dy 3.53-3.61, 5 Er 3.53-3.62, 2 Ac 3.66-3.68
Er (0.0483, 0.4075, 0.6744)  3 Er 3.52-3.61, 7 Dy 3.54-3.70, 2 Ac 3.63-3.64
Er (0.3179, 0.8632, 0.7664)  6 Dy 3.53-3.68, 3 Er 3.54-3.68, 3 Ac 3.61-3.66
Er (0.6821, 0.1368, 0.2336)  6 Dy 3.53-3.68, 3 Er 3.54-3.68, 3 Ac 3.61-3.66
Er (0.9517, 0.5925, 0.3256)  3 Er 3.52-3.61, 7 Dy 3.54-3.70, 2 Ac 3.63-3.64


Entry 10:
Compound: EuGdBi2
Source: Alexandria
Functional: PBE
Structure: optimized geometry

Summary:
Energy above the most stable polymorph in this dataset = 114 meV/atom
Volume = 31.63 Å³ per atom
Symmetry = No. 225
ΔE_f = -16.055 kcal/mol of atoms

Cell: 7.9686 7.9686 7.9686 Å, 90.00 90.00 90.00°
Closest atoms and distances in Å follow each position.
Sites, in units of the cell vectors:
Eu (0.0000, 0.0000, 0.0000)  8 Bi 3.45
Eu (0.0000, 0.5000, 0.5000)  8 Bi 3.45
Eu (0.5000, 0.0000, 0.5000)  8 Bi 3.45
Eu (0.5000, 0.5000, 0.0000)  8 Bi 3.45
Gd (0.0000, 0.0000, 0.5000)  8 Bi 3.45
Gd (0.0000, 0.5000, 0.0000)  8 Bi 3.45
Gd (0.5000, 0.0000, 0.0000)  8 Bi 3.45
Gd (0.5000, 0.5000, 0.5000)  8 Bi 3.45
Bi (0.2500, 0.2500, 0.2500)  4 Gd 3.45, 4 Eu 3.45
Bi (0.2500, 0.2500, 0.7500)  4 Gd 3.45, 4 Eu 3.45
Bi (0.2500, 0.7500, 0.2500)  4 Gd 3.45, 4 Eu 3.45
Bi (0.2500, 0.7500, 0.7500)  4 Gd 3.45, 4 Eu 3.45
Bi (0.7500, 0.2500, 0.2500)  4 Gd 3.45, 4 Eu 3.45
Bi (0.7500, 0.2500, 0.7500)  4 Gd 3.45, 4 Eu 3.45
Bi (0.7500, 0.7500, 0.2500)  4 Gd 3.45, 4 Eu 3.45
Bi (0.7500, 0.7500, 0.7500)  4 Gd 3.45, 4 Eu 3.45


Entry 11:
Compound: NdCd2IrO6
Source: Alexandria
Functional: PBE
Structure: optimized geometry

Summary:
Volume = 13.64 Å³ per atom
Symmetry = No. 14
Uncorrected energy = -119.5 eV/cell

Cell: 5.7219 5.7949 10.0198 Å, 90.00 124.83 90.00°
Closest atoms and distances in Å follow each position.
Sites, in units of the cell vectors:
Nd (0.0000, 0.0000, 0.0000)  6 O 2.32-2.40
Nd (0.0000, 0.5000, 0.5000)  6 O 2.32-2.40
Cd (0.2436, 0.0379, 0.7429)  4 O 2.29-2.35
Cd (0.2436, 0.4621, 0.2429)  4 O 2.29-2.35
Cd (0.7564, 0.5379, 0.7571)  4 O 2.29-2.35
Cd (0.7564, 0.9621, 0.2571)  4 O 2.29-2.35
Ir (0.5000, 0.0000, 0.5000)  6 O 1.97-2.00
Ir (0.5000, 0.5000, 0.0000)  6 O 1.97-2.00
O (0.1631, 0.0745, 0.2754)  1 Ir 2.00
O (0.1631, 0.4255, 0.7754)  1 Ir 2.00
O (0.2571, 0.6635, 0.0506)  1 Ir 1.97
O (0.2571, 0.8365, 0.5506)  1 Ir 1.97
O (0.4158, 0.2123, 0.0714)  1 Ir 1.98
O (0.4158, 0.2877, 0.5714)  1 Ir 1.98
O (0.5842, 0.7123, 0.4286)  1 Ir 1.98
O (0.5842, 0.7877, 0.9286)  1 Ir 1.98
O (0.7429, 0.1635, 0.4494)  1 Ir 1.97
O (0.7429, 0.3365, 0.9494)  1 Ir 1.97
O (0.8369, 0.5745, 0.2246)  1 Ir 2.00
O (0.8369, 0.9255, 0.7246)  1 Ir 2.00


Entry 12:
Compound: SrVAu
Source: Alexandria
Functional: PBE
Structure: optimized geometry

Summary:
Energy above the most stable polymorph in this dataset = 87 meV/atom
Volume = 26.02 Å³ per atom
Symmetry = No. 12
ΔE_f = 1.299 kcal/mol of atoms

Cell: 8.8335 4.6806 7.6937 Å, 90.00 101.04 90.00°
Closest atoms and distances in Å follow each position.
Sites, in units of the cell vectors:
Sr (0.1810, 0.0000, 0.1619)  3 Au 3.10-3.28, 2 V 3.34
Sr (0.3190, 0.5000, 0.8381)  3 Au 3.10-3.28, 2 V 3.34
Sr (0.6810, 0.5000, 0.1619)  3 Au 3.10-3.28, 2 V 3.34
Sr (0.8190, 0.0000, 0.8381)  3 Au 3.10-3.28, 2 V 3.34
V (0.0654, 0.5000, 0.4179)  1 V 1.87
V (0.4346, 0.0000, 0.5821)  1 V 1.87
V (0.5654, 0.0000, 0.4179)  1 V 1.87
V (0.9346, 0.5000, 0.5821)  1 V 1.87
Au (0.1224, 0.0000, 0.6495)  1 Au 2.84, 5 V 2.86-2.93, 2 Sr 3.10
Au (0.3776, 0.5000, 0.3505)  1 Au 2.84, 5 V 2.86-2.93, 2 Sr 3.10
Au (0.6224, 0.5000, 0.6495)  1 Au 2.84, 5 V 2.86-2.93, 2 Sr 3.10
Au (0.8776, 0.0000, 0.3505)  1 Au 2.84, 5 V 2.86-2.93, 2 Sr 3.10


Entry 13:
Compound: Ba3AcW2N6
Source: Alexandria
Functional: PBE
Structure: optimized geometry

Summary:
Volume = 22.95 Å³ per atom
Symmetry = No. 164
Uncorrected energy = -95.0 eV/cell

Cell: 6.4323 6.4323 7.6845 Å, 90.00 90.00 120.00°
Closest atoms and distances in Å follow each position.
Sites, in units of the cell vectors:
Ba (0.0000, 0.0000, 0.0000)  6 N 2.88
Ba (0.3333, 0.6667, 0.7047)  6 N 3.22
Ba (0.6667, 0.3333, 0.2953)  6 N 3.22
Ac (0.0000, 0.0000, 0.5000)  6 N 2.58
W (0.3333, 0.6667, 0.2167)  3 N 1.84
W (0.6667, 0.3333, 0.7833)  3 N 1.84
N (0.1733, 0.3467, 0.2775)  1 W 1.84
N (0.1733, 0.8267, 0.2775)  1 W 1.84
N (0.3467, 0.1733, 0.7225)  1 W 1.84
N (0.6533, 0.8267, 0.2775)  1 W 1.84
N (0.8267, 0.1733, 0.7225)  1 W 1.84
N (0.8267, 0.6533, 0.7225)  1 W 1.84